1.
A geometry-optimized BaSr2PtO5 structure. Source: Alexandria via LeMat-Bulk, functional PBE.

The structure belongs to space group Immm (No. 71); the cell edges are 4.027, 6.024 and 11.852 Å and the angles 90.00°, 90.00° and 90.00°. The inequivalent atoms are Ba at (0.000, 0.000, 0.000), Sr at (0.000, 0.500, 0.212), Pt at (0.000, 0.000, 0.500), O at (0.000, 0.236, 0.371) and O at (0.000, 0.500, 0.000).

Its formation energy without anion corrections is -2.045 eV/atom. The crystal system is orthorhombic.

2.
A geometry-optimized LiAg2Pd6 structure. Source: Alexandria via LeMat-Bulk, functional PBE.

The structure belongs to space group C2/m (No. 12); the cell edges are 9.386, 5.420 and 5.776 Å and the angles 90.00°, 90.09° and 90.00°. The inequivalent atoms are Li at (0.000, 0.000, 0.000), Ag at (0.167, 0.500, 0.870), Pd at (0.086, 0.257, 0.311) and Pd at (0.171, 0.000, 0.689).

As for the formation energy: 0.048 eV per atom. As for the offset from the most stable computed form: 105.7 meV/atom. The crystal system is monoclinic.

3.
A geometry-optimized SrPaSO2 structure. Source: Alexandria via LeMat-Bulk, functional PBE.

The structure belongs to space group P4mm (No. 99); the cell edges are 4.184, 4.184 and 6.034 Å and the angles 90.00°, 90.00° and 90.00°. The inequivalent atoms are Sr at (0.000, 0.000, 0.000), Pa at (0.500, 0.500, 0.390), S at (0.500, 0.500, 0.840) and O at (0.000, 0.500, 0.277).

Its formation energy without anion corrections is -2.829 eV/atom. The crystal system is tetragonal.

4.
A geometry-optimized AlPtBr structure. Source: Alexandria via LeMat-Bulk, functional PBE.

The structure belongs to space group C2 (No. 5); the cell edges are 5.624, 5.624 and 9.914 Å and the angles 90.00°, 106.46° and 90.00°. The inequivalent atoms are Al at (0.000, 0.000, 0.000), Al at (0.000, 0.500, 0.000), Pt at (0.171, 0.250, 0.843) and Br at (0.173, 0.498, 0.340).

Its formation energy without anion corrections is -0.691 eV/atom. As for the offset from the most stable computed form: 15.6 meV/atom. The crystal system is monoclinic.

5.
A geometry-optimized La2MgZn2 structure. Source: Alexandria via LeMat-Bulk, functional PBE.

The structure belongs to space group I4/mmm (No. 139); the cell edges are 4.746, 4.746 and 12.736 Å and the angles 90.00°, 90.00° and 90.00°. The inequivalent atoms are La at (0.000, 0.500, 0.250), Mg at (0.000, 0.000, 0.000) and Zn at (0.000, 0.000, 0.407).

As for the formation energy: 0.070 eV per atom. The crystal system is tetragonal.

6.
A geometry-optimized Tm2PuMg structure. Source: Alexandria via LeMat-Bulk, functional PBE.

The structure belongs to space group R3m (No. 160, hexagonal axes); the cell edges are 3.3837, 3.3837 and 33.7643 Å and the angles 90.00°, 90.00° and 120.00°. The inequivalent atoms are Tm at (0.0000, 0.0000, 0.0000), Tm at (0.0000, 0.0000, 0.1682), Pu at (0.0000, 0.0000, 0.5842) and Mg at (0.0000, 0.0000, 0.4174).

As for the formation energy: 0.114 eV per atom. As for the offset from the most stable computed form: 66.8 meV/atom. The crystal system is trigonal.

7.
A geometry-optimized SmHfTc structure. Source: Alexandria via LeMat-Bulk, functional PBE.

The structure belongs to space group P4/nmm (No. 129, origin choice 2); the cell edges are 4.663, 4.663 and 6.687 Å and the angles 90.00°, 90.00° and 90.00°. The inequivalent atoms are Sm at (0.250, 0.750, 0.000), Hf at (0.250, 0.750, 0.500) and Tc at (0.250, 0.250, 0.278).

As for the formation energy: 0.087 eV per atom. The crystal system is tetragonal.

8.
A geometry-optimized Li2YScTl4 structure. Source: Alexandria via LeMat-Bulk, functional PBE.

The structure belongs to space group R-3m (No. 166, hexagonal axes); the cell edges are 5.1027, 5.1027 and 25.0534 Å and the angles 90.00°, 90.00° and 120.00°. The inequivalent atoms are Li at (0.0000, 0.0000, 0.2505), Y at (0.0000, 0.0000, 0.5000), Sc at (0.0000, 0.0000, 0.0000), Tl at (0.0000, 0.0000, 0.1213) and Tl at (0.0000, 0.0000, 0.3722).

As for the formation energy: -0.285 eV per atom. The crystal system is trigonal.